# PtPb2Au

A relaxed structure of PtPb2Au (GGA-PBEsol, the Alexandria database).

It has space group Amm2 (No. 38), with a = 4.331 Å, b = 3.792 Å, c = 10.616 Å, α = 90.00°, β = 90.00° and γ = 90.00°. The inequivalent atoms are Pt at (0.000, 0.000, 0.000), Pb at (0.000, 0.000, 0.270), Pb at (0.500, 0.000, 0.557) and Au at (0.500, 0.000, 0.831).

The total magnetization comes out at 0.000 μB per formula unit. For the calculated formation energy, the calculation gives -91 meV/atom. As for the polymorph energy (0 for the lowest one): 0 meV per atom. The calculated total energy comes out at -19.2 eV per formula unit. The density of states at the Fermi level is 1.72 states/eV/f.u.